The following is a DFT calculation (GGA-PBEsol) of crystalline CrRh2Au at its relaxed geometry.

Calculated values
For the density of states at the Fermi level, the calculation gives 4.2 states/eV/cell. As for the raw total energy: -30.20 eV for the cell shown.

Lattice parameters (Å, degrees): 2.699 3.622 5.648 90.00 90.00 90.00
Element x y z (fractional)
Cr 0.000 0.000 0.000
Rh 0.500 0.500 0.226
Rh 0.500 0.500 0.774
Au 0.000 0.000 0.500